(1)
Compound: Rb2BaFe
Source: Alexandria
Functional: PBE-GGA
Structure: relaxed

Lattice parameters (Å, degrees): 9.0655 9.0655 9.0655 126.16 126.16 79.62
Element x y z (fractional)
Rb 0.3750 0.1266 0.2516
Rb 0.8734 0.1250 0.2484
Rb 0.8750 0.1234 0.7484
Rb 0.8766 0.6250 0.7516
Ba 0.2500 0.7500 0.5000
Ba 0.5000 0.5000 0.0000
Fe 0.0000 0.0000 0.0000
Fe 0.7500 0.2500 0.5000

* M_tot: 0.1 μB/f.u.
* calculated total energy: -1.503 eV per atom
* Fermi-level density of states: 1.44 states/eV/atom
* energy relative to the elements: 1.58 eV/atom

---

(2)
Compound: Sr2AcSnO6
Source: Alexandria
Functional: PBE-GGA
Structure: relaxed

Lattice parameters (Å, degrees): 6.0618 6.2510 10.5044 90.00 124.78 90.00
Element x y z (fractional)
Sr 0.2361 0.0477 0.2536
Sr 0.2361 0.4523 0.7536
Sr 0.7639 0.5477 0.2464
Sr 0.7639 0.9523 0.7464
Ac 0.5000 0.0000 0.0000
Ac 0.5000 0.5000 0.5000
Sn 0.0000 0.0000 0.5000
Sn 0.0000 0.5000 0.0000
O 0.1118 0.2275 0.9310
O 0.1118 0.2725 0.4310
O 0.2253 0.6870 0.9467
O 0.2253 0.8130 0.4467
O 0.3434 0.0573 0.7277
O 0.3434 0.4427 0.2277
O 0.6566 0.5573 0.7723
O 0.6566 0.9427 0.2723
O 0.7747 0.1870 0.5533
O 0.7747 0.3130 0.0533
O 0.8882 0.7275 0.5690
O 0.8882 0.7725 0.0690

* M_tot: 1.0 μB/f.u.
* calculated total energy: -6.533 eV per atom
* Fermi-level density of states: 0.68 states/eV/atom
* formation energy (no corrections): -2410 meV per atom

---

(3)
Compound: Hf2Zr8In3
Source: Alexandria
Functional: PBE-GGA
Structure: relaxed

Lattice parameters (Å, degrees): 11.1328 11.1328 11.1328 30.30 30.30 30.30
Element x y z (fractional)
Hf 0.1378 0.1378 0.1378
Hf 0.8622 0.8622 0.8622
Zr 0.2223 0.2223 0.2223
Zr 0.2234 0.2234 0.7311
Zr 0.2234 0.7311 0.2234
Zr 0.2689 0.7766 0.7766
Zr 0.7311 0.2234 0.2234
Zr 0.7766 0.2689 0.7766
Zr 0.7766 0.7766 0.2689
Zr 0.7777 0.7777 0.7777
In 0.3129 0.3129 0.3129
In 0.5000 0.5000 0.5000
In 0.6871 0.6871 0.6871

* M_tot: 0.0 μB/f.u.
* calculated total energy: -7.208 eV per atom
* Fermi-level density of states: 1.29 states/eV/atom
* energy relative to the elements: 0.22 eV/atom

---

(4)
Compound: Sr2CrPb
Source: Alexandria
Functional: PBE-GGA
Structure: relaxed

Lattice parameters (Å, degrees): 10.6703 10.6703 10.6703 21.73 21.73 21.73
Element x y z (fractional)
Sr 0.2493 0.2493 0.2493
Sr 0.7507 0.7507 0.7507
Cr 0.5000 0.5000 0.5000
Pb 0.0000 0.0000 0.0000

* M_tot: 4.8 μB/f.u.
* calculated total energy: -3.819 eV per atom
* Fermi-level density of states: 1.04 states/eV/atom
* energy relative to the elements: 0.35 eV/atom

---

(5)
Compound: B3OsPd
Source: Alexandria
Functional: PBE-GGA
Structure: relaxed

Lattice parameters (Å, degrees): 3.9670 3.9670 3.9670 90.00 90.00 90.00
Element x y z (fractional)
B 0.0000 0.0000 0.5000
B 0.0000 0.5000 0.0000
B 0.5000 0.0000 0.0000
Os 0.5000 0.5000 0.5000
Pd 0.0000 0.0000 0.0000

* M_tot: 0.0 μB/f.u.
* calculated total energy: -5.322 eV per atom
* Fermi-level density of states: 1.05 states/eV/atom
* energy relative to the elements: 1.97 eV/atom

---

(6)
Compound: Tl2AgHPb
Source: Alexandria
Functional: PBE-GGA
Structure: relaxed

Lattice parameters (Å, degrees): 5.8865 5.8865 3.5421 90.00 90.00 90.00
Element x y z (fractional)
Tl 0.0000 0.5000 0.0000
Tl 0.5000 0.0000 0.0000
Ag 0.0000 0.0000 0.0000
H 0.0000 0.0000 0.5000
Pb 0.5000 0.5000 0.5000

* M_tot: 0.0 μB/f.u.
* calculated total energy: -2.742 eV per atom
* Fermi-level density of states: 0.28 states/eV/atom

---

(7)
Compound: Li2ZnCl
Source: Alexandria
Functional: PBE-GGA
Structure: relaxed

Lattice parameters (Å, degrees): 7.9372 7.9372 3.1886 101.55 101.55 22.64
Element x y z (fractional)
Li 0.0000 0.0000 0.0000
Li 0.2025 0.2025 0.7029
Zn 0.3747 0.3747 0.3770
Cl 0.6280 0.6280 0.1287

* M_tot: 0.0 μB/f.u.
* calculated total energy: -2.461 eV per atom
* Fermi-level density of states: 0.27 states/eV/atom
* formation energy (no corrections): -724 meV per atom

---

(8)
Compound: Pr2AgIrO6
Source: Alexandria
Functional: PBE-GGA
Structure: relaxed

Lattice parameters (Å, degrees): 6.0054 6.0054 6.0054 58.78 58.78 58.78
Element x y z (fractional)
Pr 0.0000 0.0000 0.0000
Pr 0.4894 0.4894 0.4894
Ag 0.2347 0.2347 0.2347
Ir 0.7047 0.7047 0.7047
O 0.0444 0.4624 0.8133
O 0.3593 0.8890 0.6096
O 0.4624 0.8133 0.0444
O 0.6096 0.3593 0.8890
O 0.8133 0.0444 0.4624
O 0.8890 0.6096 0.3593

* M_tot: 2.1 μB/f.u.
* calculated total energy: -6.970 eV per atom
* Fermi-level density of states: 0.57 states/eV/atom
* formation energy (no corrections): -1868 meV per atom

---

(9)
Compound: Sm4Te2S3
Source: Alexandria
Functional: PBE-GGA
Structure: relaxed

Lattice parameters (Å, degrees): 8.8299 8.8299 7.5889 90.00 90.00 128.56
Element x y z (fractional)
Sm 0.1986 0.8014 0.9636
Sm 0.2161 0.2839 0.7500
Sm 0.2839 0.2161 0.2500
Sm 0.3014 0.6986 0.4636
Sm 0.6986 0.3014 0.5364
Sm 0.7161 0.7839 0.7500
Sm 0.7839 0.7161 0.2500
Sm 0.8014 0.1986 0.0364
Te 0.1066 0.8934 0.5762
Te 0.3934 0.6066 0.0762
Te 0.6066 0.3934 0.9238
Te 0.8934 0.1066 0.4238
S 0.0000 0.0000 0.0000
S 0.0388 0.4612 0.7500
S 0.4612 0.0388 0.2500
S 0.5000 0.5000 0.5000
S 0.5388 0.9612 0.7500
S 0.9612 0.5388 0.2500

* M_tot: 0.0 μB/f.u.
* calculated total energy: -5.907 eV per atom
* Fermi-level density of states: 0.35 states/eV/atom
* formation energy (no corrections): -1736 meV per atom

---

(10)
Compound: VReTc
Source: Alexandria
Functional: PBE-GGA
Structure: relaxed

Lattice parameters (Å, degrees): 5.0904 5.0904 5.0904 145.20 145.20 50.04
Element x y z (fractional)
V 0.0000 0.0000 0.0000
Re 0.6599 0.6599 0.0000
Tc 0.3392 0.3392 0.0000

* M_tot: 0.0 μB/f.u.
* calculated total energy: -10.822 eV per atom
* Fermi-level density of states: 0.69 states/eV/atom
* energy relative to the elements: -0.18 eV/atom

---

(11)
Compound: ScCu2Tc2
Source: Alexandria
Functional: PBE-GGA
Structure: relaxed

Lattice parameters (Å, degrees): 6.6405 6.6405 6.6405 148.74 148.74 44.80
Element x y z (fractional)
Sc 0.0000 0.0000 0.0000
Cu 0.4050 0.4050 0.0000
Cu 0.5950 0.5950 0.0000
Tc 0.2500 0.7500 0.5000
Tc 0.7500 0.2500 0.5000

* M_tot: 0.0 μB/f.u.
* calculated total energy: -6.961 eV per atom
* Fermi-level density of states: 0.77 states/eV/atom
* energy relative to the elements: 0.09 eV/atom

---

(12)
Compound: NbNi2SnMo
Source: Alexandria
Functional: PBE-GGA
Structure: relaxed

Lattice parameters (Å, degrees): 4.6090 4.6090 4.7335 90.00 90.00 90.00
Element x y z (fractional)
Nb 0.0000 0.0000 0.0000
Ni 0.0000 0.5000 0.0000
Ni 0.5000 0.0000 0.0000
Sn 0.5000 0.5000 0.5000
Mo 0.0000 0.0000 0.5000

* M_tot: 0.0 μB/f.u.
* calculated total energy: -6.084 eV per atom
* Fermi-level density of states: 0.98 states/eV/atom
* energy relative to the elements: 1.21 eV/atom

---

(13)
Compound: NdGe4Rh
Source: Alexandria
Functional: PBE-GGA
Structure: relaxed

Lattice parameters (Å, degrees): 6.3041 6.4624 6.9306 84.32 89.97 60.86
Element x y z (fractional)
Nd 0.1059 0.4982 0.2510
Nd 0.8941 0.5018 0.7490
Ge 0.1254 0.0073 0.1422
Ge 0.3236 0.6037 0.5914
Ge 0.3664 0.0092 0.6422
Ge 0.4245 0.3978 0.9093
Ge 0.5755 0.6022 0.0907
Ge 0.6336 0.9908 0.3578
Ge 0.6764 0.3963 0.4086
Ge 0.8746 0.9927 0.8578
Rh 0.0000 0.0000 0.5000
Rh 0.5000 0.0000 0.0000

* M_tot: 0.0 μB/f.u.
* calculated total energy: -5.549 eV per atom
* Fermi-level density of states: 0.49 states/eV/atom
* energy relative to the elements: -0.45 eV/atom

---

(14)
Compound: Rb2CdNiS
Source: Alexandria
Functional: PBE-GGA
Structure: relaxed

Lattice parameters (Å, degrees): 6.5579 6.5579 4.8249 90.00 90.00 90.00
Element x y z (fractional)
Rb 0.0000 0.5000 0.0000
Rb 0.5000 0.0000 0.0000
Cd 0.0000 0.0000 0.0000
Ni 0.0000 0.0000 0.5000
S 0.5000 0.5000 0.5000

* M_tot: 0.9 μB/f.u.
* calculated total energy: -2.190 eV per atom
* Fermi-level density of states: 1.93 states/eV/atom
* formation energy (no corrections): 361 meV per atom

---

(15)
Compound: W5Se
Source: Alexandria
Functional: PBE-GGA
Structure: relaxed

Lattice parameters (Å, degrees): 5.2892 5.2892 5.2892 60.00 60.00 60.00
Element x y z (fractional)
W 0.0000 0.0000 0.0000
W 0.1254 0.6249 0.6249
W 0.6249 0.1254 0.6249
W 0.6249 0.6249 0.1254
W 0.6249 0.6249 0.6249
Se 0.2500 0.2500 0.2500

* M_tot: 0.0 μB/f.u.
* calculated total energy: -10.569 eV per atom
* Fermi-level density of states: 0.85 states/eV/atom
* formation energy (no corrections): 806 meV per atom

---

(16)
Compound: BeNbRuN2
Source: Alexandria
Functional: PBE-GGA
Structure: relaxed

Lattice parameters (Å, degrees): 3.6001 3.6001 4.4149 90.00 90.00 90.00
Element x y z (fractional)
Be 0.0000 0.0000 0.0000
Nb 0.0000 0.0000 0.5000
Ru 0.5000 0.5000 0.5000
N 0.0000 0.5000 0.0000
N 0.5000 0.0000 0.0000

* M_tot: 0.0 μB/f.u.
* calculated total energy: -6.496 eV per atom
* Fermi-level density of states: 1.06 states/eV/atom
* formation energy (no corrections): 1448 meV per atom

---

(17)
Compound: Co2Hg2Pb
Source: Alexandria
Functional: PBE-GGA
Structure: relaxed

Lattice parameters (Å, degrees): 6.7485 6.7485 4.0612 90.00 90.00 90.00
Element x y z (fractional)
Co 0.1263 0.3737 0.0000
Co 0.3737 0.8737 0.0000
Co 0.6263 0.1263 0.0000
Co 0.8737 0.6263 0.0000
Hg 0.1627 0.6627 0.5000
Hg 0.3373 0.1627 0.5000
Hg 0.6627 0.8373 0.5000
Hg 0.8373 0.3373 0.5000
Pb 0.0000 0.0000 0.0000
Pb 0.5000 0.5000 0.0000

* M_tot: 2.1 μB/f.u.
* calculated total energy: -3.275 eV per atom
* Fermi-level density of states: 0.98 states/eV/atom
* energy relative to the elements: 0.43 eV/atom

---

(18)
Compound: ReSnGe2F
Source: Alexandria
Functional: PBE-GGA
Structure: relaxed

Lattice parameters (Å, degrees): 4.7577 4.7577 4.1074 90.00 90.00 90.00
Element x y z (fractional)
Re 0.0000 0.0000 0.0000
Sn 0.5000 0.5000 0.0000
Ge 0.0000 0.5000 0.5000
Ge 0.5000 0.0000 0.5000
F 0.0000 0.0000 0.5000

* M_tot: 0.0 μB/f.u.
* calculated total energy: -4.902 eV per atom
* Fermi-level density of states: 0.94 states/eV/atom
* formation energy (no corrections): 609 meV per atom

---

(19)
Compound: Ag4Hg
Source: Alexandria
Functional: PBE-GGA
Structure: relaxed

Lattice parameters (Å, degrees): 5.1854 5.1854 5.1854 99.20 99.20 132.86
Element x y z (fractional)
Ag 0.0989 0.6967 0.7956
Ag 0.3033 0.0989 0.4022
Ag 0.6967 0.9011 0.5978
Ag 0.9011 0.3033 0.2044
Hg 0.5000 0.5000 0.0000

* M_tot: 0.0 μB/f.u.
* calculated total energy: -2.308 eV per atom
* Fermi-level density of states: 0.32 states/eV/atom
* energy relative to the elements: 0.03 eV/atom

---

(20)
Compound: BaSbTeI2
Source: Alexandria
Functional: PBE-GGA
Structure: relaxed

Lattice parameters (Å, degrees): 6.5945 6.5945 7.0524 90.00 90.00 90.00
Element x y z (fractional)
Ba 0.0000 0.0000 0.0000
Sb 0.5000 0.5000 0.5000
Te 0.0000 0.0000 0.5000
I 0.0000 0.5000 0.0000
I 0.5000 0.0000 0.0000

* M_tot: 1.0 μB/f.u.
* calculated total energy: -2.577 eV per atom
* Fermi-level density of states: 0.99 states/eV/atom
* formation energy (no corrections): -120 meV per atom